Entry from Alexandria: Li4CrFe3O8 after structural relaxation (PBE+U).

Results
size of the total moment: 0.750 μB per atom
SG: No. 2
volume: 9.22 A^3/atom
energy: -6.138 eV/atom
offset from the most stable computed form: 0.1618 eV per atom

CIF file:
```
data_Li4CrFe3O8
_chemical_formula_sum 'Li8 Cr2 Fe6 O16'
_cell_length_a 5.114
_cell_length_b 5.983
_cell_length_c 10.156
_cell_angle_alpha 91.92
_cell_angle_beta 100.08
_cell_angle_gamma 104.70
_symmetry_space_group_name_H-M 'P 1'
_symmetry_Int_Tables_number 1
loop_
_symmetry_equiv_pos_as_xyz
'x,y,z'
loop_
_atom_site_label
_atom_site_type_symbol
_atom_site_fract_x
_atom_site_fract_y
_atom_site_fract_z
O1 O 0.286 0.580 0.189
O2 O 0.721 0.177 0.064
O3 O 0.267 0.312 0.945
O4 O 0.270 0.065 0.195
O5 O 0.714 0.420 0.811
O6 O 0.273 0.311 0.440
O7 O 0.733 0.688 0.055
O8 O 0.728 0.446 0.306
O9 O 0.727 0.689 0.560
O10 O 0.279 0.823 0.936
O11 O 0.267 0.055 0.688
O12 O 0.733 0.945 0.312
O13 O 0.272 0.554 0.694
O14 O 0.730 0.935 0.805
O15 O 0.274 0.806 0.443
O16 O 0.726 0.194 0.557
Li1 Li 0.996 0.247 0.749
Li2 Li 0.003 0.760 0.748
Li3 Li 0.000 0.000 0.000
Li4 Li 0.000 0.500 0.000
Li5 Li 0.000 0.500 0.500
Li6 Li 0.997 0.240 0.252
Li7 Li 0.000 0.000 0.500
Li8 Li 0.004 0.753 0.251
Fe1 Fe 0.500 0.377 0.125
Fe2 Fe 0.500 0.623 0.875
Fe3 Fe 0.500 0.127 0.375
Fe4 Fe 0.500 0.873 0.625
Fe5 Fe 0.503 0.628 0.376
Fe6 Fe 0.497 0.372 0.624
Cr1 Cr 0.504 0.878 0.126
Cr2 Cr 0.496 0.122 0.874
```